Entry 1:
Entry from Alexandria via LeMat-Bulk: a crystal of K2CaInTc relaxed with PBEsol (SCAN).

Computed properties:
Its density of states at the Fermi level is 3.9 states/eV/cell. The total magnetic moment comes out at 3.25 μB per cell. The value obtained for the formation enthalpy at 0 K is 859 meV per atom.

Cell: 5.1959 6.3240 6.3240 Å, 90.00 90.00 90.00°
Site moments in Bohr magnetons follow the coordinates.
Sites, in units of the cell vectors:
In1 0.0000 0.0000 0.0000  -0.11
Tc1 0.5000 0.0000 0.0000  3.02
K1 0.0000 0.0000 0.5000  -0.01
K2 0.0000 0.5000 0.0000  -0.01
Ca1 0.5000 0.5000 0.5000  0.00

***

Entry 2:
Entry from Alexandria via LeMat-Bulk: a crystal of Li3V3O3F5 relaxed with PBEsol (SCAN).

Computed properties:
Its density of states at the Fermi level is 3.2 states/eV/cell. The value obtained for the formation energy (no corrections) is -275.73 kJ per mole of atoms. The total magnetic moment comes out at 7.00 μB per cell.

Cell: 5.7951 5.9601 6.0034 Å, 121.03 90.00 119.09°
Site moments in Bohr magnetons follow the coordinates.
Sites, in units of the cell vectors:
F1 0.8553 0.2397 0.6187  0.02
F2 0.3854 0.2596 0.1331  0.02
F3 0.8743 0.2596 0.1331  0.02
F4 0.8632 0.7264 0.5963  0.01
F5 0.3844 0.2397 0.6187  0.02
O1 0.3845 0.7691 0.1490  0.03
O2 0.8623 0.7246 0.1531  0.01
O3 0.3876 0.7751 0.6168  -0.02
V1 0.6039 0.7474 0.3643  2.03
V2 0.1436 0.7474 0.3643  2.03
V3 0.6261 0.2522 0.8799  2.37
Li1 0.6171 0.2342 0.3616  0.00
Li2 0.2646 0.5292 0.7611  0.01
Li3 0.9795 0.9589 0.9979  0.00

***

Entry 3:
Entry from Alexandria via LeMat-Bulk: a crystal of Cs2HgPt relaxed with PBEsol (SCAN).

Computed properties:
Its density of states at the Fermi level is 3.8 states/eV/cell. The total magnetic moment comes out at 0.00 μB per cell. The value obtained for the formation enthalpy at 0 K is -183 meV per atom.

Cell: 5.2341 8.9687 8.9687 Å, 85.12 73.03 73.03°
Sites, in units of the cell vectors:
Hg1 0.7500 0.5000 0.5000
Hg2 0.0000 0.0000 0.0000
Pt1 0.2500 0.5000 0.5000
Pt2 0.5000 0.0000 0.0000
Cs1 0.8750 0.8407 0.6593
Cs2 0.2843 0.3407 0.8407
Cs3 0.3750 0.1593 0.3407
Cs4 0.4657 0.6593 0.1593

***

Entry 4:
Entry from Alexandria via LeMat-Bulk: a crystal of SiRh2Br relaxed with PBEsol (SCAN).

Computed properties:
Its energy above the most stable polymorph in this dataset is 0.915 eV per atom. Its density of states at the Fermi level is 5.6 states/eV/cell. The value obtained for the formation energy (no corrections) is 64.99 kJ per mole of atoms. The total magnetic moment comes out at 0.00 μB per cell.

Cell: 4.4126 4.4126 4.4126 Å, 60.00 60.00 60.00°
Sites, in units of the cell vectors:
Rh1 0.7500 0.7500 0.7500
Rh2 0.0000 0.0000 0.0000
Br1 0.5000 0.5000 0.5000
Si1 0.2500 0.2500 0.2500

***

Entry 5:
Entry from Alexandria via LeMat-Bulk: a crystal of BaHgMo2 relaxed with PBEsol (SCAN).

Computed properties:
Its density of states at the Fermi level is 3.1 states/eV/cell. The total magnetic moment comes out at 0.00 μB per cell. The value obtained for the formation enthalpy at 0 K is 788 meV per atom.

Cell: 3.6913 3.6913 7.1935 Å, 90.00 90.00 90.00°
Sites, in units of the cell vectors:
Hg1 0.5000 0.5000 0.5000
Mo1 0.0000 0.0000 0.3501
Mo2 0.0000 0.0000 0.6499
Ba1 0.5000 0.5000 0.0000

***

Entry 6:
Entry from Alexandria via LeMat-Bulk: a crystal of CsH7O4 relaxed with PBEsol (SCAN).

Computed properties:
The total energy is -0.3103 hartree per atom. Its density of states at the Fermi level is 0.0 states/eV/cell. The total magnetic moment comes out at 0.27 μB per cell.

Cell: 5.9037 8.5385 9.7235 Å, 97.75 90.00 90.00°
Sites, in units of the cell vectors:
H1 0.1126 0.3666 0.9819
H2 0.6739 0.2925 0.3706
H3 0.9827 0.6624 0.5252
H4 0.1674 0.4528 0.5838
H5 0.8548 0.2469 0.0553
H6 0.6126 0.1335 0.5181
H7 0.6201 0.8352 0.7591
H8 0.6298 0.9880 0.6072
H9 0.4827 0.8376 0.9748
H10 0.8799 0.3352 0.2591
H11 0.3326 0.9528 0.0838
H12 0.8261 0.7925 0.8706
H13 0.1452 0.7531 0.9447
H14 0.6452 0.7469 0.5553
H15 0.8702 0.4880 0.1072
H16 0.1739 0.2075 0.1294
H17 0.3548 0.2531 0.4447
H18 0.8874 0.6334 0.0181
H19 0.1298 0.5120 0.8928
H20 0.3874 0.8666 0.4819
H21 0.1201 0.6648 0.7409
H22 0.0173 0.3376 0.4748
H23 0.6674 0.0472 0.9162
H24 0.8326 0.5472 0.4162
H25 0.3702 0.0120 0.3928
H26 0.5173 0.1624 0.0252
H27 0.3799 0.1648 0.2409
H28 0.3261 0.7075 0.6294
O1 0.6446 0.1624 0.9551
O2 0.8207 0.3593 0.3607
O3 0.1793 0.6407 0.6393
O4 0.6911 0.0978 0.6013
O5 0.0256 0.6905 0.8874
O6 0.1446 0.3376 0.5449
O7 0.1911 0.4022 0.8987
O8 0.3554 0.8376 0.0449
O9 0.5256 0.8095 0.6126
O10 0.6793 0.8593 0.8607
O11 0.3207 0.1407 0.1393
O12 0.8554 0.6624 0.4551
O13 0.3089 0.9022 0.3987
O14 0.8089 0.5978 0.1013
O15 0.9744 0.3095 0.1126
O16 0.4744 0.1905 0.3874
Cs1 0.6495 0.4293 0.7701
Cs2 0.1495 0.0707 0.7299
Cs3 0.8505 0.9293 0.2701
Cs4 0.3505 0.5707 0.2299

***

Entry 7:
Entry from Alexandria via LeMat-Bulk: a crystal of Hf2CrAuBr relaxed with PBEsol (SCAN).

Computed properties:
Its density of states at the Fermi level is 4.1 states/eV/cell. The value obtained for the formation energy (no corrections) is 103.70 kJ per mole of atoms. The total magnetic moment comes out at 4.88 μB per cell.

Cell: 5.1061 5.1061 5.2115 Å, 90.00 90.00 90.00°
Site moments in Bohr magnetons follow the coordinates.
Sites, in units of the cell vectors:
Hf1 0.5000 0.0000 0.0000  -0.03
Hf2 0.0000 0.5000 0.0000  -0.03
Cr1 0.5000 0.5000 0.5000  4.20
Au1 0.0000 0.0000 0.0000  0.02
Br1 0.0000 0.0000 0.5000  0.05

***

Entry 8:
Entry from Alexandria via LeMat-Bulk: a crystal of TaCr2Cl relaxed with PBEsol (SCAN).

Computed properties:
Its density of states at the Fermi level is 2.5 states/eV/cell. The value obtained for the formation energy (no corrections) is 19.04 kJ per mole of atoms. The total magnetic moment comes out at 6.03 μB per cell.

Cell: 2.8747 2.8747 7.8618 Å, 90.00 90.00 115.31°
Site moments in Bohr magnetons follow the coordinates.
Sites, in units of the cell vectors:
Cr1 0.0000 0.0000 0.2467  3.12
Cr2 0.0000 0.0000 0.7533  3.12
Ta1 0.5000 0.5000 0.5000  -0.63
Cl1 0.5000 0.5000 0.0000  0.09

***

Entry 9:
Entry from Alexandria via LeMat-Bulk: a crystal of Cs relaxed with PBEsol (SCAN).

Computed properties:
Its energy above the most stable polymorph in this dataset is 0.000 eV per atom. Its density of states at the Fermi level is 8.8 states/eV/cell. The total magnetic moment comes out at 0.01 μB per cell. The value obtained for the formation enthalpy at 0 K is 0 meV per atom.

Cell: 9.8258 9.8258 9.8258 Å, 90.00 90.00 90.00°
Sites, in units of the cell vectors:
Cs1 0.5000 0.0000 0.7500
Cs2 0.7500 0.5000 0.0000
Cs3 0.0000 0.7500 0.5000
Cs4 0.5000 0.0000 0.2500
Cs5 0.0000 0.2500 0.5000
Cs6 0.5000 0.5000 0.5000
Cs7 0.2500 0.5000 0.0000
Cs8 0.0000 0.0000 0.0000

***

Entry 10:
Entry from Alexandria via LeMat-Bulk: a crystal of LaMoPb3 relaxed with PBEsol (SCAN).

Computed properties:
Its density of states at the Fermi level is 3.4 states/eV/cell. The total magnetic moment comes out at 4.34 μB per cell. The value obtained for the formation enthalpy at 0 K is 1304 meV per atom.

Cell: 5.9025 5.9025 5.9025 Å, 90.00 90.00 90.00°
Site moments in Bohr magnetons follow the coordinates.
Sites, in units of the cell vectors:
Pb1 0.0000 0.0000 0.5000  -0.06
Pb2 0.5000 0.0000 0.0000  -0.06
Pb3 0.0000 0.5000 0.0000  -0.06
Mo1 0.5000 0.5000 0.5000  4.20
La1 0.0000 0.0000 0.0000  -0.08

***

Entry 11:
Entry from Alexandria via LeMat-Bulk: a crystal of Sr2CuReBi relaxed with PBEsol (SCAN).

Computed properties:
Its density of states at the Fermi level is 5.6 states/eV/cell. The total magnetic moment comes out at 3.61 μB per cell. The value obtained for the formation enthalpy at 0 K is 940 meV per atom.

Cell: 4.8231 5.6559 5.6559 Å, 90.00 90.00 90.00°
Site moments in Bohr magnetons follow the coordinates.
Sites, in units of the cell vectors:
Sr1 0.0000 0.0000 0.5000  -0.01
Sr2 0.0000 0.5000 0.0000  -0.01
Bi1 0.5000 0.0000 0.0000  0.01
Cu1 0.0000 0.0000 0.0000  0.00
Re1 0.5000 0.5000 0.5000  2.67

***

Entry 12:
Entry from Alexandria via LeMat-Bulk: a crystal of YSnS2 relaxed with PBEsol (SCAN).

Computed properties:
Its density of states at the Fermi level is 2.1 states/eV/cell. The value obtained for the formation energy (no corrections) is -57.45 kJ per mole of atoms. The total magnetic moment comes out at 0.00 μB per cell.

Cell: 3.8320 3.8320 8.5660 Å, 77.08 77.08 60.00°
Sites, in units of the cell vectors:
Y1 0.0000 0.0000 0.0000
S1 0.8959 0.8959 0.3123
S2 0.1041 0.1041 0.6877
Sn1 0.5000 0.5000 0.5000

***

Q: The highest total magnetic moment belongs to which entry?
A: Li3V3O3F5

***

Q: Among the records above, which one has the highest total magnetic moment?
A: Li3V3O3F5